# HgHRuRh2

A geometry-optimized HgHRuRh2 structure (GGA-PBE, Alexandria via LeMat-Bulk).

Geometry as POSCAR:
```
HgHRuRh2
1.0
4.030 0.000 0.000
0.000 4.030 0.000
0.000 0.000 3.992
Hg H Ru Rh
1 1 1 2
direct
0.000 0.000 0.000
0.500 0.500 0.500
0.500 0.500 0.000
0.000 0.500 0.500
0.500 0.000 0.500
```

Results
The total magnetic moment is 0.6 μB per cell. The value obtained for the volume is 65 Å³/cell. Its total DFT energy (no corrections) is -0.3878 Ry per atom. The value obtained for the density of states at the Fermi level is 1.276 states/eV/atom.

=====

# Sc2HgHRh

A geometry-optimized Sc2HgHRh structure (GGA-PBE, Alexandria via LeMat-Bulk).

Geometry as POSCAR:
```
Sc2HgHRh
1.0
4.636 0.000 0.000
0.000 4.636 0.000
0.000 0.000 3.692
Sc Hg H Rh
2 1 1 1
direct
0.000 0.500 0.000
0.500 0.000 0.000
0.000 0.000 0.500
0.500 0.500 0.000
0.500 0.500 0.500
```

Results
The total magnetic moment is 0.0 μB per cell. The value obtained for the volume is 79 Å³/cell. Its total DFT energy (no corrections) is -0.3910 Ry per atom. The value obtained for the density of states at the Fermi level is 0.569 states/eV/atom.

=====

# Ta2HgHRh

A geometry-optimized Ta2HgHRh structure (GGA-PBE, Alexandria via LeMat-Bulk).

Geometry as POSCAR:
```
Ta2HgHRh
1.0
4.177 0.000 0.000
0.000 4.177 0.000
0.000 0.000 4.106
Ta Hg H Rh
2 1 1 1
direct
0.000 0.500 0.000
0.500 0.000 0.000
0.000 0.000 0.500
0.500 0.500 0.000
0.500 0.500 0.500
```

Results
The total magnetic moment is 0.0 μB per cell. The value obtained for the volume is 72 Å³/cell. Its total DFT energy (no corrections) is -0.5093 Ry per atom. The value obtained for the density of states at the Fermi level is 0.611 states/eV/atom.

=====

# HgTeH2Rh

A geometry-optimized HgTeH2Rh structure (GGA-PBE, Alexandria via LeMat-Bulk).

Geometry as POSCAR:
```
HgTeH2Rh
1.0
3.855 0.000 0.000
0.000 3.855 0.000
0.000 0.000 6.234
Hg Te H Rh
1 1 2 1
direct
0.000 0.000 0.000
0.000 0.000 0.500
0.000 0.500 0.500
0.500 0.000 0.500
0.500 0.500 0.000
```

Results
The total magnetic moment is 0.0 μB per cell. The value obtained for the volume is 93 Å³/cell. Its total DFT energy (no corrections) is -0.2033 Ry per atom. The value obtained for the density of states at the Fermi level is 0.711 states/eV/atom.

=====

# Ti2HgHRh

A geometry-optimized Ti2HgHRh structure (GGA-PBE, Alexandria via LeMat-Bulk).

Geometry as POSCAR:
```
Ti2HgHRh
1.0
4.104 0.000 0.000
0.000 4.104 0.000
0.000 0.000 4.036
Ti Hg H Rh
2 1 1 1
direct
0.000 0.500 0.000
0.500 0.000 0.000
0.000 0.000 0.500
0.500 0.500 0.000
0.500 0.500 0.500
```

Results
The total magnetic moment is 0.0 μB per cell. The value obtained for the volume is 68 Å³/cell. Its total DFT energy (no corrections) is -0.4163 Ry per atom. The value obtained for the density of states at the Fermi level is 0.976 states/eV/atom.

=====

# Tl2HgHRh

A geometry-optimized Tl2HgHRh structure (GGA-PBE, Alexandria via LeMat-Bulk).

Geometry as POSCAR:
```
Tl2HgHRh
1.0
5.482 0.000 0.000
0.000 5.482 0.000
0.000 0.000 3.514
Tl Hg H Rh
2 1 1 1
direct
0.000 0.500 0.000
0.500 0.000 0.000
0.000 0.000 0.500
0.500 0.500 0.500
0.500 0.500 0.000
```

Results
The total magnetic moment is 0.0 μB per cell. The value obtained for the volume is 106 Å³/cell. Its total DFT energy (no corrections) is -0.2262 Ry per atom. The value obtained for the density of states at the Fermi level is 0.483 states/eV/atom.

=====

# TlHg2HRh

A geometry-optimized TlHg2HRh structure (GGA-PBE, Alexandria via LeMat-Bulk).

Geometry as POSCAR:
```
TlHg2HRh
1.0
5.453 0.000 0.000
0.000 5.453 0.000
0.000 0.000 3.474
Tl Hg H Rh
1 2 1 1
direct
0.000 0.000 0.000
0.000 0.500 0.500
0.500 0.000 0.500
0.500 0.500 0.000
0.500 0.500 0.500
```

Results
The total magnetic moment is 0.0 μB per cell. The value obtained for the volume is 103 Å³/cell. Its total DFT energy (no corrections) is -0.1910 Ry per atom. The value obtained for the density of states at the Fermi level is 0.340 states/eV/atom.

=====

# Zn2HgHRh

A geometry-optimized Zn2HgHRh structure (GGA-PBE, Alexandria via LeMat-Bulk).

Geometry as POSCAR:
```
Zn2HgHRh
1.0
4.385 0.000 0.000
0.000 4.385 0.000
0.000 0.000 3.491
Zn Hg H Rh
2 1 1 1
direct
0.000 0.500 0.000
0.500 0.000 0.000
0.000 0.000 0.500
0.500 0.500 0.000
0.500 0.500 0.500
```

Results
The total magnetic moment is 0.0 μB per cell. The value obtained for the volume is 67 Å³/cell. Its total DFT energy (no corrections) is -0.1998 Ry per atom. The value obtained for the density of states at the Fermi level is 0.422 states/eV/atom.

=====

# ZrHg2HRh

A geometry-optimized ZrHg2HRh structure (GGA-PBE, Alexandria via LeMat-Bulk).

Geometry as POSCAR:
```
ZrHg2HRh
1.0
5.803 0.000 0.000
0.000 5.803 0.000
0.000 0.000 4.755
Zr Hg H Rh
1 2 1 1
direct
0.000 0.000 0.000
0.000 0.500 0.000
0.500 0.000 0.000
0.500 0.500 0.500
0.000 0.000 0.500
```

Results
The total magnetic moment is 0.8 μB per cell. The value obtained for the volume is 160 Å³/cell. Its total DFT energy (no corrections) is -0.2134 Ry per atom. The value obtained for the density of states at the Fermi level is 0.670 states/eV/atom.

=====

# Hg3HRu

A geometry-optimized Hg3HRu structure (GGA-PBE, Alexandria via LeMat-Bulk).

Geometry as POSCAR:
```
Hg3HRu
1.0
4.341 0.000 0.000
0.000 4.341 0.000
0.000 0.000 4.341
Hg H Ru
3 1 1
direct
0.000 0.000 0.500
0.000 0.500 0.000
0.500 0.000 0.000
0.000 0.000 0.000
0.500 0.500 0.500
```

Results
The total magnetic moment is 0.0 μB per cell. The value obtained for the volume is 82 Å³/cell. Its total DFT energy (no corrections) is -0.1439 Ry per atom. The value obtained for the density of states at the Fermi level is 0.609 states/eV/atom.

=====

# HgH2Ru

A geometry-optimized HgH2Ru structure (GGA-PBE, Alexandria via LeMat-Bulk).

Geometry as POSCAR:
```
HgH2Ru
1.0
4.053 0.000 0.000
0.000 4.053 0.000
0.000 0.000 10.887
Hg H Ru
4 8 4
direct
0.000 0.000 0.000
0.000 0.500 0.250
0.500 0.000 0.750
0.500 0.500 0.500
0.045 0.250 0.625
0.250 0.545 0.875
0.250 0.955 0.375
0.455 0.250 0.125
0.545 0.750 0.125
0.750 0.045 0.375
0.750 0.455 0.875
0.955 0.750 0.625
0.000 0.000 0.500
0.000 0.500 0.750
0.500 0.000 0.250
0.500 0.500 0.000
```

Results
The total magnetic moment is 0.0 μB per cell. The value obtained for the volume is 179 Å³/cell. Its total DFT energy (no corrections) is -0.2704 Ry per atom. The value obtained for the density of states at the Fermi level is 0.512 states/eV/atom.

=====

# HgH3Ru

A geometry-optimized HgH3Ru structure (GGA-PBE, Alexandria via LeMat-Bulk).

Geometry as POSCAR:
```
HgH3Ru
1.0
3.569 0.000 0.000
0.000 3.569 0.000
0.000 0.000 3.569
Hg H Ru
1 3 1
direct
0.000 0.000 0.000
0.000 0.500 0.500
0.500 0.000 0.500
0.500 0.500 0.000
0.500 0.500 0.500
```

Results
The total magnetic moment is 0.0 μB per cell. The value obtained for the volume is 45 Å³/cell. Its total DFT energy (no corrections) is -0.2641 Ry per atom. The value obtained for the density of states at the Fermi level is 0.253 states/eV/atom.